First-principles (PBE) data for an optimized crystal structure of Tb6Ag5Rh, as listed in Alexandria.

Values from the calculation:
Its crystal system is monoclinic. The total magnetization is 0.00 μB per cell. As for the formation energy: -4.9 eV/f.u. As for the density of states at the Fermi level: 7.95 states/eV per cell.

a b c (Å): 5.095 7.268 8.060
angles (deg): 90.00 108.36 90.00
Space group P2/m (No. 10)
Inequivalent atoms, fractional coordinates:
Tb  0.000  0.237  0.000 [2 per cell]
Tb  0.341  0.244  0.682 [4 per cell]
Ag  0.167  0.500  0.335 [2 per cell]
Ag  0.175  0.000  0.350 [2 per cell]
Ag  0.500  0.500  0.000 [1 per cell]
Rh  0.500  0.000  0.000 [1 per cell]